Density functional theory data (PBE) for crystalline MgMoIr2 at its relaxed geometry.

Properties
Crystal system: orthorhombic
Calculated total energy, eV/atom: -7.7410
DOS(E_F), states/eV per atom: 0.8472

abc: 6.5101 4.7020 2.8276
angles: 90.06 64.17 124.14
Closest atoms and distances in Å follow each position.
Fractional coordinates of all 4 atoms:
Mg: 0.0000 0.5000 0.5000  8 Ir 2.74, 2 Mg 2.83, 2 Mo 2.93
Ir: 0.5000 0.0000 0.5000  4 Mo 2.74, 4 Mg 2.74, 4 Ir 2.83-2.93
Ir: 0.0000 0.0000 0.0000  4 Mg 2.74, 4 Mo 2.74, 4 Ir 2.83-2.93
Mo: 0.5000 0.5000 0.0000  8 Ir 2.74, 2 Mo 2.83, 2 Mg 2.93

Density functional theory data (PBE) for crystalline BeAs2PBr at its relaxed geometry.

Properties
Polymorph energy (0 for the lowest one), kJ/mol of atoms: 33.3
Crystal system: tetragonal
Formation energy without anion corrections, eV per atom: 1.056
DOS(E_F), states/eV per atom: 1.0517

abc: 4.7957 4.7957 4.9860
angles: 90.00 90.00 90.00
Closest atoms and distances in Å follow each position.
Fractional coordinates of all 5 atoms:
Br: 0.0000 0.0000 0.5000  2 P 2.49
As: 0.5000 0.0000 0.0000  2 P 2.40
As: 0.0000 0.5000 0.0000  2 P 2.40
Be: 0.5000 0.5000 0.5000  4 Br 3.39, 8 As 3.46
P: 0.0000 0.0000 0.0000  4 As 2.40, 2 Br 2.49

Density functional theory data (PBE) for crystalline CeTl3Hg6 at its relaxed geometry.

Properties
Crystal system: trigonal
Calculated total energy, eV/atom: -1.4690
DOS(E_F), states/eV per atom: 1.1173

abc: 9.1029 6.9673 6.9673
angles: 102.45 115.82 115.82
Closest atoms and distances in Å follow each position.
Fractional coordinates of all 10 atoms:
Hg: 0.6152 0.0000 0.6926  5 Hg 3.01-3.34, 1 Tl 3.08
Hg: 0.8884 0.0000 0.5590  3 Hg 3.01-3.04, 3 Tl 3.14-3.29, 1 Ce 3.21
Hg: 0.9226 0.3074 0.3074  5 Hg 3.01-3.34, 1 Tl 3.08
Hg: 0.3294 0.4410 0.4410  3 Hg 3.01-3.04, 3 Tl 3.14-3.29, 1 Ce 3.21
Hg: 0.8884 0.5590 0.0000  3 Hg 3.01-3.04, 3 Tl 3.14-3.29, 1 Ce 3.21
Hg: 0.6152 0.6926 0.0000  5 Hg 3.01-3.34, 1 Tl 3.08
Tl: 0.2430 0.5406 0.0000  4 Hg 3.08-3.29, 1 Ce 3.33
Tl: 0.2430 0.0000 0.5406  4 Hg 3.08-3.29, 1 Ce 3.33
Tl: 0.7024 0.4594 0.4594  4 Hg 3.08-3.29, 1 Ce 3.33
Ce: 0.2133 0.0000 0.0000  3 Hg 3.21, 3 Tl 3.33